Entry 1:
This record from the Alexandria database describes an optimized crystal structure of AcBiPbAu. The functional is PBE.

Unit cell a=5.581 b=5.581 c=5.581 alpha=60.00 beta=60.00 gamma=60.00
Positions (direct):
Au 0.500 0.500 0.500
Bi 0.000 0.000 0.000
Pb 0.250 0.250 0.250
Ac 0.750 0.750 0.750

Properties
The magnetization is 0.00 Bohr magnetons per cell. For the raw total energy, the calculation gives -4.202 eV/atom. The energy of formation from the pure elements is -0.46 eV/atom. The volume comes out at 122.9 Å³ per cell. As for the symmetry: F-43m. The density is 11.348 g/cm3.

***

Entry 2:
This record from the Alexandria database describes an optimized crystal structure of NaTa2Ga. The functional is PBE.

Unit cell a=7.645 b=7.645 c=6.036 alpha=50.71 beta=50.71 gamma=90.00
Positions (direct):
Na 0.250 0.750 0.500
Na 0.500 0.500 0.000
Ta 0.375 0.349 0.750
Ta 0.875 0.901 0.750
Ta 0.099 0.625 0.250
Ta 0.651 0.125 0.250
Ga 0.000 0.000 0.000
Ga 0.750 0.250 0.500

Properties
The magnetization is 0.00 Bohr magnetons per cell. For the raw total energy, the calculation gives -6.047 eV/atom. The energy of formation from the pure elements is 0.97 eV/atom. The volume comes out at 157.0 Å³ per cell. As for the symmetry: I-42d. The density is 9.618 g/cm3.

***

Entry 3:
This record from the Alexandria database describes an optimized crystal structure of Sr2SiSn3Pd4. The functional is PBE.

Unit cell a=4.544 b=4.544 c=10.962 alpha=90.00 beta=90.00 gamma=90.00
Positions (direct):
Pd 0.000 0.000 0.000
Pd 0.000 0.500 0.379
Pd 0.500 0.500 0.000
Pd 0.500 0.000 0.621
Si 0.500 0.500 0.500
Sn 0.500 0.000 0.870
Sn 0.000 0.500 0.130
Sn 0.000 0.000 0.500
Sr 0.000 0.500 0.742
Sr 0.500 0.000 0.258

Properties
For the energy relative to the elements, uncorrected, the calculation gives -6.7 eV/f.u. The magnetization is 0.00 Bohr magnetons per cell. For the raw total energy, the calculation gives -4.827 eV/atom. The volume comes out at 226.4 Å³ per cell. As for the symmetry: P-4m2. The density is 7.226 g/cm3.